1.
! ZrCuSi2 PBE optimized geometry; values from VASP
! Spin magnetization ... 0.000 μB/cell
! Energy relative to the elements, uncorrected ... 0.093 eV per atom
! Space-group type ... No. 160
! E ... -23.117 eV per formula unit
! Density of states at the Fermi level ... 2.86 states/eV per cell
&SYSTEM
  ibrav = 0, nat = 4, ntyp = 3
/
ATOMIC_SPECIES
Cu 63.55 Cu.upf
Si 28.09 Si.upf
Zr 91.22 Zr.upf
CELL_PARAMETERS angstrom
8.498 -0.013 -0.008
7.974 2.938 -0.008
7.974 1.416 2.574
ATOMIC_POSITIONS angstrom
Cu 18.046 3.205 1.889
Si 0.016 0.003 0.002
Si 6.347 1.127 0.665
Zr 12.259 2.177 1.283

---

2.
! Zr2CuSi PBE optimized geometry; values from VASP
! Spin magnetization ... 0.000 μB/cell
! Energy relative to the elements, uncorrected ... -0.168 eV per atom
! Space-group type ... No. 99
! E ... -27.286 eV per formula unit
! Density of states at the Fermi level ... 2.34 states/eV per cell
&SYSTEM
  ibrav = 0, nat = 4, ntyp = 3
/
ATOMIC_SPECIES
Cu 63.55 Cu.upf
Si 28.09 Si.upf
Zr 91.22 Zr.upf
CELL_PARAMETERS angstrom
-1.370 -0.827 2.638
-1.567 -2.192 -1.501
5.556 -4.897 1.351
ATOMIC_POSITIONS angstrom
Cu 3.025 -2.666 0.735
Si 2.438 -4.953 1.518
Zr 5.367 -4.731 1.305
Zr 0.122 -2.912 0.955

---

3.
! ZrCuSi2 PBE optimized geometry; values from VASP
! Spin magnetization ... 0.000 μB/cell
! Energy relative to the elements, uncorrected ... -0.368 eV per atom
! Space-group type ... No. 47
! E ... -24.962 eV per formula unit
! Density of states at the Fermi level ... 2.23 states/eV per cell
&SYSTEM
  ibrav = 0, nat = 4, ntyp = 3
/
ATOMIC_SPECIES
Cu 63.55 Cu.upf
Si 28.09 Si.upf
Zr 91.22 Zr.upf
CELL_PARAMETERS angstrom
3.952 0.000 0.000
0.000 3.098 -0.009
0.000 0.016 5.194
ATOMIC_POSITIONS angstrom
Cu 1.976 2.335 3.889
Si 0.000 2.325 0.024
Si 0.000 2.331 2.560
Zr 1.976 0.778 1.296